## Cs2K2HgP2 (PBE)

Data for an optimized crystal structure of Cs2K2HgP2.

Computed properties:
Uncorrected energy, eV per cell: -17.51

abc: 10.3397 10.3397 10.3397
angles: 32.88 32.88 32.88
Element x y z (fractional)
Cs: 0.2073 0.2073 0.2073
Cs: 0.7927 0.7927 0.7927
Hg: 0.0000 0.0000 0.0000
K: 0.3854 0.3854 0.3854
K: 0.6146 0.6146 0.6146
P: 0.0826 0.0826 0.0826
P: 0.9174 0.9174 0.9174

=====

## PuTcGe (PBE)

Data for an optimized crystal structure of PuTcGe.

Computed properties:
Uncorrected energy, eV per cell: -28.44

abc: 4.3962 4.3962 4.3962
angles: 60.00 60.00 60.00
Element x y z (fractional)
Ge: 0.0000 0.0000 0.0000
Pu: 0.2500 0.2500 0.2500
Tc: 0.7500 0.7500 0.7500

=====

## NbTlSi (PBE)

Data for an optimized crystal structure of NbTlSi.

Computed properties:
Uncorrected energy, eV per cell: -16.00

abc: 4.4490 4.4490 4.4490
angles: 60.00 60.00 60.00
Element x y z (fractional)
Nb: 0.2500 0.2500 0.2500
Si: 0.0000 0.0000 0.0000
Tl: 0.7500 0.7500 0.7500

=====

## CuAg19 (PBE)

Data for an optimized crystal structure of CuAg19.

Computed properties:
DFT formation energy, meV per atom: 14

abc: 5.0779 6.5162 11.3269
angles: 106.55 94.35 96.99
Element x y z (fractional)
Ag: 0.5000 0.0000 0.0000
Ag: 0.7504 0.4501 0.0508
Ag: 0.9997 0.9004 0.1016
Ag: 0.2512 0.3503 0.1505
Ag: 0.4999 0.8015 0.2022
Ag: 0.7523 0.2547 0.2545
Ag: 0.9998 0.6974 0.3047
Ag: 0.2447 0.1545 0.3529
Ag: 0.5012 0.5987 0.4028
Ag: 0.7514 0.0575 0.4511
Ag: 0.2486 0.9425 0.5489
Ag: 0.4988 0.4013 0.5972
Ag: 0.7553 0.8455 0.6471
Ag: 0.0002 0.3026 0.6953
Ag: 0.2477 0.7453 0.7455
Ag: 0.5001 0.1985 0.7978
Ag: 0.7488 0.6497 0.8495
Ag: 0.0003 0.0996 0.8984
Ag: 0.2496 0.5499 0.9492
Cu: 0.0000 0.5000 0.5000

=====

## Y2In2Hg (PBE)

Data for an optimized crystal structure of Y2In2Hg.

Computed properties:
Uncorrected energy, eV per cell: -18.60

abc: 4.3182 4.3182 7.8113
angles: 106.05 106.05 90.00
Element x y z (fractional)
Hg: 0.0000 0.0000 0.0000
In: 0.7500 0.2500 0.5000
In: 0.2500 0.7500 0.5000
Y: 0.5969 0.5969 0.1937
Y: 0.4031 0.4031 0.8063

=====

## PaGeBi (PBE)

Data for an optimized crystal structure of PaGeBi.

Computed properties:
Uncorrected energy, eV per cell: -16.54

abc: 5.0656 5.0656 5.0656
angles: 60.00 60.00 60.00
Element x y z (fractional)
Bi: 0.0000 0.0000 0.0000
Ge: 0.2500 0.2500 0.2500
Pa: 0.7500 0.7500 0.7500

=====

## LiIrSO (PBE)

Data for an optimized crystal structure of LiIrSO.

Computed properties:
Uncorrected energy, eV per cell: -91.73

abc: 5.5968 7.8339 4.9899
angles: 90.00 90.00 90.00
Element x y z (fractional)
Ir: 0.8916 0.3333 0.0808
Ir: 0.3916 0.6667 0.0808
Ir: 0.6084 0.3333 0.5808
Ir: 0.1084 0.6667 0.5808
Li: 0.1423 0.0647 0.4473
Li: 0.6423 0.9353 0.4473
Li: 0.3577 0.0647 0.9473
Li: 0.8577 0.9353 0.9473
O: 0.0492 0.1128 0.0914
O: 0.5492 0.8872 0.0914
O: 0.4508 0.1128 0.5914
O: 0.9508 0.8872 0.5914
S: 0.4967 0.3822 0.1304
S: 0.9967 0.6178 0.1304
S: 0.0033 0.3822 0.6304
S: 0.5033 0.6178 0.6304

=====

## Sc2Zn3Ga (PBE)

Data for an optimized crystal structure of Sc2Zn3Ga.

Computed properties:
Uncorrected energy, eV per cell: -22.15

abc: 3.2100 4.3481 7.5193
angles: 90.00 90.00 90.00
Element x y z (fractional)
Ga: 0.5000 0.5000 0.3347
Sc: 0.0000 0.5000 0.0016
Sc: 0.0000 0.0000 0.4986
Zn: 0.5000 0.0000 0.1630
Zn: 0.5000 0.5000 0.6706
Zn: 0.5000 0.0000 0.8316

=====

## SmHoGa2Pd4 (PBE)

Data for an optimized crystal structure of SmHoGa2Pd4.

Computed properties:
Uncorrected energy, eV per cell: -43.10

abc: 4.4161 4.4161 9.1330
angles: 90.00 90.00 120.00
Element x y z (fractional)
Ga: 0.0000 0.0000 0.2453
Ga: 0.0000 0.0000 0.7547
Ho: 0.6667 0.3333 0.0000
Pd: 0.3333 0.6667 0.1646
Pd: 0.6667 0.3333 0.3225
Pd: 0.6667 0.3333 0.6775
Pd: 0.3333 0.6667 0.8354
Sm: 0.3333 0.6667 0.5000

=====

## NdSi2TcOs (PBE)

Data for an optimized crystal structure of NdSi2TcOs.

Computed properties:
Uncorrected energy, eV per cell: -40.44

abc: 5.8035 5.8035 5.8035
angles: 137.36 137.36 61.89
Element x y z (fractional)
Nd: 0.0000 0.0000 0.0000
Os: 0.7500 0.2500 0.5000
Si: 0.3688 0.3688 0.0000
Si: 0.6312 0.6312 0.0000
Tc: 0.2500 0.7500 0.5000

=====

## PmLuSb2Pt2 (PBE)

Data for an optimized crystal structure of PmLuSb2Pt2.

Computed properties:
Uncorrected energy, eV per cell: -147.15

abc: 9.3749 4.6764 14.0432
angles: 90.00 109.37 90.00
Element x y z (fractional)
Lu: 0.6873 0.5000 0.3763
Lu: 0.1888 0.5000 0.3765
Lu: 0.5603 0.0000 0.6232
Lu: 0.4385 0.5000 0.8735
Pm: 0.8117 0.0000 0.1261
Pm: 0.3142 0.0000 0.1262
Pm: 0.0620 0.0000 0.6241
Pm: 0.9360 0.5000 0.8734
Pt: 0.0002 0.0000 0.0004
Pt: 0.3794 0.5000 0.2585
Pt: 0.8794 0.5000 0.2588
Pt: 0.7415 0.0000 0.4970
Pt: 0.2548 0.0000 0.4971
Pt: 0.6158 0.5000 0.7448
Pt: 0.1360 0.5000 0.7530
Pt: 0.4970 0.0000 0.9927
Sb: 0.5629 0.5000 0.1254
Sb: 0.0642 0.5000 0.1288
Sb: 0.4385 0.0000 0.3768
Sb: 0.9381 0.0000 0.3769
Sb: 0.8064 0.5000 0.6223
Sb: 0.3143 0.5000 0.6226
Sb: 0.6820 0.0000 0.8709
Sb: 0.1909 0.0000 0.8747

=====

## Cu7Ag3 (PBE)

Data for an optimized crystal structure of Cu7Ag3.

Computed properties:
DFT formation energy, meV per atom: 88

abc: 4.6357 4.6365 7.1142
angles: 108.65 101.94 100.11
Element x y z (fractional)
Ag: 0.2767 0.5899 0.0911
Ag: 0.6147 0.2098 0.1982
Ag: 0.5075 0.9990 0.5098
Cu: 0.9112 0.8112 0.3075
Cu: 0.2001 0.3995 0.4142
Cu: 0.8217 0.6081 0.6106
Cu: 0.1010 0.1969 0.7001
Cu: 0.3954 0.7904 0.7951
Cu: 0.6909 0.4092 0.8921
Cu: 0.9810 0.9859 0.9813

=====

- Number 10 is which compound?
  NdSi2TcOs